Entry 1:
The following is a DFT calculation (PBE) of a relaxed structure of AlCu2Se2S.

Output
E above lowest polymorph: 2.5 meV per atom
E_tot: -4.23 eV per atom
SG: Cc

a = 6.728 Å, b = 6.728 Å, c = 6.697 Å
α = 99.90°, β = 99.90°, γ = 119.89°
Element x y z (fractional)
Al (0.925, 0.095, 0.004)
Al (0.095, 0.925, 0.504)
Cu (0.392, 0.543, 0.478)
Cu (0.728, 0.243, 0.497)
Cu (0.543, 0.392, 0.978)
Cu (0.243, 0.728, 0.997)
S (0.284, 0.450, 0.118)
S (0.450, 0.284, 0.618)
Se (0.611, 0.117, 0.116)
Se (0.942, 0.776, 0.117)
Se (0.117, 0.611, 0.616)
Se (0.776, 0.942, 0.617)


Entry 2:
The following is a DFT calculation (PBE) of a relaxed structure of HOs3C10ClO10.

Output
E_tot: -7.86 eV per atom
SG: P-1

a = 7.601 Å, b = 8.607 Å, c = 13.158 Å
α = 95.07°, β = 102.80°, γ = 110.46°
Element x y z (fractional)
C (0.230, 0.332, 0.088)
C (0.866, 0.319, 0.112)
C (0.386, 0.086, 0.158)
C (0.053, 0.800, 0.162)
C (0.710, 0.823, 0.189)
C (0.230, 0.502, 0.270)
C (0.610, 0.379, 0.307)
C (0.040, 0.860, 0.362)
C (0.505, 0.041, 0.367)
C (0.343, 0.270, 0.427)
C (0.657, 0.730, 0.573)
C (0.495, 0.959, 0.633)
C (0.960, 0.140, 0.638)
C (0.390, 0.621, 0.693)
C (0.770, 0.498, 0.730)
C (0.290, 0.177, 0.811)
C (0.947, 0.200, 0.838)
C (0.614, 0.914, 0.842)
C (0.134, 0.681, 0.888)
C (0.770, 0.668, 0.912)
Cl (0.922, 0.186, 0.325)
Cl (0.078, 0.814, 0.675)
H (0.960, 0.059, 0.124)
H (0.040, 0.941, 0.876)
O (0.319, 0.363, 0.026)
O (0.735, 0.347, 0.066)
O (0.386, 0.031, 0.074)
O (0.093, 0.702, 0.114)
O (0.545, 0.739, 0.161)
O (0.745, 0.498, 0.308)
O (0.311, 0.634, 0.325)
O (0.578, 0.957, 0.409)
O (0.075, 0.804, 0.438)
O (0.676, 0.672, 0.495)
O (0.324, 0.328, 0.505)
O (0.925, 0.196, 0.562)
O (0.422, 0.043, 0.591)
O (0.689, 0.366, 0.675)
O (0.255, 0.502, 0.692)
O (0.455, 0.261, 0.839)
O (0.907, 0.298, 0.886)
O (0.614, 0.969, 0.926)
O (0.265, 0.653, 0.934)
O (0.681, 0.637, 0.974)
Os (0.089, 0.283, 0.189)
Os (0.986, 0.953, 0.239)
Os (0.388, 0.180, 0.298)
Os (0.612, 0.820, 0.702)
Os (0.014, 0.047, 0.761)
Os (0.911, 0.717, 0.811)


Entry 3:
The following is a DFT calculation (PBE) of a relaxed structure of ZnFeCuTc.

Output
E above lowest polymorph: 0.0 meV per atom
Formation enthalpy at 0 K: 19.8 kJ/mol of atoms
E_tot: -5.71 eV per atom
SG: F-43m

a = 4.149 Å, b = 4.149 Å, c = 4.149 Å
α = 60.00°, β = 60.00°, γ = 60.00°
Element x y z (fractional)
Cu (0.750, 0.750, 0.750)
Fe (0.500, 0.500, 0.500)
Tc (0.250, 0.250, 0.250)
Zn (0.000, 0.000, 0.000)


Entry 4:
The following is a DFT calculation (PBE) of a relaxed structure of Cu2Ag3.

Output
E above lowest polymorph: 65.5 meV per atom
Formation enthalpy at 0 K: 9.4 kJ/mol of atoms
E_tot: -3.08 eV per atom
SG: C2/c

a = 7.384 Å, b = 7.384 Å, c = 4.880 Å
α = 96.60°, β = 96.60°, γ = 141.29°
Element x y z (fractional)
Ag (0.948, 0.052, 0.250)
Ag (0.743, 0.257, 0.250)
Ag (0.151, 0.849, 0.250)
Ag (0.849, 0.151, 0.750)
Ag (0.257, 0.743, 0.750)
Ag (0.052, 0.948, 0.750)
Cu (0.545, 0.455, 0.250)
Cu (0.359, 0.641, 0.250)
Cu (0.641, 0.359, 0.750)
Cu (0.455, 0.545, 0.750)


Entry 5:
The following is a DFT calculation (PBE) of a relaxed structure of K2GaHgF6.

Output
E_tot: -3.98 eV per atom
SG: Fm-3m

a = 6.036 Å, b = 6.036 Å, c = 6.036 Å
α = 60.00°, β = 60.00°, γ = 60.00°
Element x y z (fractional)
F (0.779, 0.221, 0.221)
F (0.221, 0.779, 0.221)
F (0.779, 0.779, 0.221)
F (0.221, 0.221, 0.779)
F (0.779, 0.221, 0.779)
F (0.221, 0.779, 0.779)
Ga (0.000, 0.000, 0.000)
Hg (0.500, 0.500, 0.500)
K (0.250, 0.250, 0.250)
K (0.750, 0.750, 0.750)


Entry 6:
The following is a DFT calculation (PBE) of a relaxed structure of LaGa2NiAu.

Output
E_tot: -4.60 eV per atom
SG: P4/nmm

a = 4.372 Å, b = 4.372 Å, c = 10.136 Å
α = 90.00°, β = 90.00°, γ = 90.00°
Element x y z (fractional)
Au (0.000, 0.000, 0.000)
Au (0.500, 0.500, 0.000)
Ga (0.500, 0.000, 0.154)
Ga (0.000, 0.000, 0.500)
Ga (0.500, 0.500, 0.500)
Ga (0.000, 0.500, 0.846)
La (0.000, 0.500, 0.263)
La (0.500, 0.000, 0.737)
Ni (0.500, 0.000, 0.387)
Ni (0.000, 0.500, 0.613)